The following is a DFT calculation (GGA-PBE) of an optimized crystal structure of Lu8Zn2C3N3.

theoretical density = 10090 kg/m³
calculated total energy = -6.532 eV/atom

The structure in POSCAR format:
```
Lu8Zn2C3N3
1.0
3.407 0.000 0.000
-1.703 2.950 0.000
0.000 0.000 26.338
N Lu Zn C
3 8 2 3
direct
0.667 0.333 0.395 N
0.333 0.667 0.605 N
0.000 0.000 0.500 N
0.000 0.000 0.159 Lu
0.000 0.000 0.841 Lu
0.000 0.000 0.653 Lu
0.333 0.667 0.449 Lu
0.667 0.333 0.551 Lu
0.667 0.333 0.945 Lu
0.333 0.667 0.055 Lu
0.000 0.000 0.347 Lu
0.667 0.333 0.740 Zn
0.333 0.667 0.260 Zn
0.333 0.667 0.886 C
0.000 0.000 0.000 C
0.667 0.333 0.114 C
```